Here is a relaxed Pm4Ho2Tm crystal from Alexandria. Energies are from GGA-PBE.

Lattice parameters (Å, degrees): 6.2211 6.6162 11.5407 90.00 104.62 90.00
Positions (direct):
Pm  0.6482  0.5107  0.2848
Pm  0.0452  0.7500  0.8661
Pm  0.9548  0.2500  0.1339
Pm  0.6482  0.9893  0.2848
Pm  0.8497  0.2500  0.5491
Pm  0.3518  0.0107  0.7152
Pm  0.3518  0.4893  0.7152
Pm  0.1503  0.7500  0.4509
Ho  0.6112  0.7500  0.9936
Ho  0.3888  0.2500  0.0064
Ho  0.2883  0.2500  0.4213
Ho  0.7117  0.7500  0.5787
Tm  0.1496  0.7500  0.1643
Tm  0.8504  0.2500  0.8357

Values from the calculation:
Raw total energy = -4.534 eV/atom

=====

Here is a relaxed Tl2Zn2Pd crystal from Alexandria. Energies are from GGA-PBE.

Lattice parameters (Å, degrees): 6.7053 6.7053 4.8381 90.00 90.00 90.00
Positions (direct):
Tl  0.1831  0.6831  0.5000
Tl  0.6831  0.8169  0.5000
Tl  0.8169  0.3169  0.5000
Tl  0.3169  0.1831  0.5000
Zn  0.3616  0.8616  0.0000
Zn  0.8616  0.6384  0.0000
Zn  0.6384  0.1384  0.0000
Zn  0.1384  0.3616  0.0000
Pd  0.0000  0.0000  0.0000
Pd  0.5000  0.5000  0.0000

Values from the calculation:
Raw total energy = -2.458 eV/atom

=====

Here is a relaxed Pm2Sm2Al3 crystal from Alexandria. Energies are from GGA-PBE.

Lattice parameters (Å, degrees): 3.4932 3.4768 15.7030 90.00 83.61 90.00
Positions (direct):
Pm  0.5657  0.5000  0.8687
Pm  0.4343  0.5000  0.1313
Sm  0.6956  0.5000  0.6088
Sm  0.3044  0.5000  0.3912
Al  0.8667  0.0000  0.2667
Al  0.0000  0.0000  0.0000
Al  0.1333  0.0000  0.7333

Values from the calculation:
Raw total energy = -4.566 eV/atom

=====

Here is a relaxed CaSi2Au9 crystal from Alexandria. Energies are from GGA-PBE.

Lattice parameters (Å, degrees): 6.9767 8.8086 8.8086 80.98 66.67 66.67
Positions (direct):
Ca  0.5000  0.0000  0.0000
Ca  0.2500  0.5000  0.5000
Si  0.8750  0.2500  0.7500
Si  0.8750  0.7500  0.2500
Si  0.8750  0.2500  0.2500
Si  0.3750  0.7500  0.7500
Au  0.7500  0.5000  0.5000
Au  0.0000  0.0000  0.0000
Au  0.9741  0.9403  0.6946
Au  0.6090  0.0597  0.3054
Au  0.6644  0.1946  0.5597
Au  0.4187  0.8054  0.4403
Au  0.7759  0.8054  0.5597
Au  0.1410  0.1946  0.4403
Au  0.0856  0.9403  0.3054
Au  0.3313  0.0597  0.6946
Au  0.7759  0.5597  0.8054
Au  0.1410  0.4403  0.1946
Au  0.0856  0.3054  0.9403
Au  0.3313  0.6946  0.0597
Au  0.9741  0.6946  0.9403
Au  0.6090  0.3054  0.0597
Au  0.6644  0.5597  0.1946
Au  0.4187  0.4403  0.8054

Values from the calculation:
Formation energy without anion corrections = -13.72 kJ/mol of atoms
Raw total energy = -3.671 eV/atom

=====

Here is a relaxed CuTcPt2 crystal from Alexandria. Energies are from GGA-PBE.

Lattice parameters (Å, degrees): 2.7462 2.7462 7.6904 90.00 90.00 90.00
Positions (direct):
Cu  0.5000  0.5000  0.7473
Pt  0.0000  0.0000  0.9855
Pt  0.5000  0.5000  0.2614
Tc  0.0000  0.0000  0.5058

Values from the calculation:
Raw total energy = -6.678 eV/atom

=====

Here is a relaxed LaPm2Ni crystal from Alexandria. Energies are from GGA-PBE.

Lattice parameters (Å, degrees): 3.5428 3.5428 9.1133 90.00 90.00 90.00
Positions (direct):
Ni  0.5000  0.5000  0.0000
La  0.5000  0.5000  0.5000
Pm  0.0000  0.0000  0.8210
Pm  0.0000  0.0000  0.1790

Values from the calculation:
Raw total energy = -5.157 eV/atom